Entry 1:
A plane-wave DFT calculation with meta-GGA SCAN was carried out for a crystal of MnCrIn2 relaxed with PBEsol.

The space group is Cmmm (No. 65) and the conventional cell measures 5.9389, 7.5185 and 2.9884 Å, with angles of 90.00, 90.00 and 90.00 degrees. The distinct sites, in fractional coordinates, are Mn at (0.0000, 0.0000, 0.0000), Cr at (0.0000, 0.5000, 0.0000) and In at (0.2500, 0.2500, 0.5000).

The size of the total moment is 1.783 μB per atom. Its energy relative to the lowest polymorph listed for this composition is 0.0091 eV/atom. Its formation energy is 0.069 eV per atom. As for the total DFT energy (no corrections): -25.785 eV per atom.

***

Entry 2:
A plane-wave DFT calculation with meta-GGA SCAN was carried out for a crystal of GeH2S2 relaxed with PBEsol.

The space group is P4/mbm (No. 127) and the conventional cell measures 7.0328, 7.0328 and 2.9874 Å, with angles of 90.00, 90.00 and 90.00 degrees. The distinct sites, in fractional coordinates, are Ge at (0.0000, 0.0000, 0.0000), H at (0.1407, 0.3593, 0.5000) and S at (0.1987, 0.3013, 0.0000).

The size of the total moment is 0.000 μB per atom. As for the total DFT energy (no corrections): -8.873 eV per atom.

***

Entry 3:
A plane-wave DFT calculation with meta-GGA SCAN was carried out for a crystal of Ca3CdMo relaxed with PBEsol.

The space group is Pm-3m (No. 221) and the conventional cell measures 5.3582, 5.3582 and 5.3582 Å, with angles of 90.00, 90.00 and 90.00 degrees. The distinct sites, in fractional coordinates, are Ca at (0.0000, 0.0000, 0.5000), Cd at (0.5000, 0.5000, 0.5000) and Mo at (0.0000, 0.0000, 0.0000).

The size of the total moment is 0.428 μB per atom. Its formation energy is 0.769 eV per atom. As for the total DFT energy (no corrections): -18.089 eV per atom.